# 1
Compound: VCdCu2
Source: Alexandria via LeMat-Bulk
Functional: GGA-PBE
Structure: relaxed

Computed properties:
- Theoretical density: 7.84 g/cm³
- Space-group type: No. 166
- ΔH_f (0 K): 0.4788 eV/atom
- D(E_F): 2.3 states/eV/f.u.

Lattice parameters (Å, degrees): 2.685 2.685 9.975 82.27 82.27 60.00
Element x y z (fractional)
V: 0.000 0.000 0.000
Cu: 0.082 0.082 0.754
Cu: 0.918 0.918 0.246
Cd: 0.500 0.500 0.500

# 2
Compound: VCdCu2
Source: Alexandria via LeMat-Bulk
Functional: GGA-PBE
Structure: relaxed

Computed properties:
- Theoretical density: 8.28 g/cm³
- Space-group type: No. 123
- ΔH_f (0 K): 0.1616 eV/atom
- D(E_F): 3.4 states/eV/f.u.

Lattice parameters (Å, degrees): 2.767 2.767 7.609 90.00 90.00 90.00
Element x y z (fractional)
V: 0.500 0.500 0.000
Cu: 0.000 0.000 0.770
Cu: 0.000 0.000 0.230
Cd: 0.500 0.500 0.500

# 3
Compound: VCdCu3
Source: Alexandria via LeMat-Bulk
Functional: GGA-PBE
Structure: relaxed

Computed properties:
- Theoretical density: 6.01 g/cm³
- Space-group type: No. 221
- ΔH_f (0 K): 1.1273 eV/atom
- D(E_F): 5.4 states/eV/f.u.

Lattice parameters (Å, degrees): 4.606 4.606 4.606 90.00 90.00 90.00
Element x y z (fractional)
Cd: 0.500 0.500 0.500
Cu: 0.000 0.500 0.000
Cu: 0.000 0.000 0.500
Cu: 0.500 0.000 0.000
V: 0.000 0.000 0.000